NpClF4: relaxed, PBE.

Properties
As for the total energy: -6.43 eV per atom. The calculation puts the density of states at the Fermi level at 13.8 states/eV/cell.

Unit cell a=7.7985 b=3.5507 c=7.1624 alpha=90.00 beta=90.00 gamma=90.00
With the nearest neighbours (Å) after each atom.
Positions (direct):
Np: 0.2500 0.0000 0.1617  8 F 2.27-2.30
Np: 0.7500 0.0000 0.8383  8 F 2.27-2.30
Cl: 0.2500 0.0000 0.5199  1 Np 2.57
Cl: 0.7500 0.0000 0.4801  1 Np 2.57
F: 0.0000 0.0000 0.0000  2 Np 2.27
F: 0.0870 0.5000 0.2532  2 Np 2.28, 2 F 2.47-2.54
F: 0.2500 0.5000 0.9569  2 Np 2.30, 2 F 2.47
F: 0.4130 0.5000 0.2532  2 Np 2.28, 2 F 2.47-2.54
F: 0.5000 0.0000 0.0000  2 Np 2.27
F: 0.5870 0.5000 0.7468  2 Np 2.28, 2 F 2.47-2.54
F: 0.7500 0.5000 0.0431  2 Np 2.30, 2 F 2.47
F: 0.9130 0.5000 0.7468  2 Np 2.28, 2 F 2.47-2.54

GaAsI2O: relaxed, PBE.

Properties
As for the total energy: -3.22 eV per atom. For the polymorph energy (0 for the lowest one), the calculation gives 211 meV per atom. The calculation puts the density of states at the Fermi level at 3.0 states/eV/cell.

Unit cell a=5.7594 b=5.7594 c=3.6146 alpha=90.00 beta=90.00 gamma=90.00
With the nearest neighbours (Å) after each atom.
Positions (direct):
Ga: 0.0000 0.0000 0.0000  2 O 1.81
As: 0.5000 0.5000 0.5000  8 I 3.40, 2 As 3.61
I: 0.0000 0.5000 0.0000  2 Ga 2.88
I: 0.5000 0.0000 0.0000  2 Ga 2.88
O: 0.0000 0.0000 0.5000  2 Ga 1.81

Ca2HPd4Pb2: relaxed, PBE.

Properties
As for the total energy: -4.37 eV per atom. The calculation puts the density of states at the Fermi level at 6.0 states/eV/cell.

Unit cell a=6.0822 b=6.0822 c=6.0822 alpha=114.96 beta=114.96 gamma=98.97
With the nearest neighbours (Å) after each atom.
Positions (direct):
Ca: 0.2131 0.2131 0.0000  1 H 2.27
Ca: 0.7869 0.7869 0.0000  1 H 2.27
H: 0.5000 0.5000 0.0000  4 Pd 2.08, 2 Ca 2.27
Pd: 0.2756 0.2756 0.5512  1 H 2.08
Pd: 0.2756 0.7244 0.0000  1 H 2.08
Pd: 0.7244 0.2756 0.0000  1 H 2.08
Pd: 0.7244 0.7244 0.4488  1 H 2.08
Pb: 0.2500 0.7500 0.5000  8 Pd 3.05, 4 Ca 3.28
Pb: 0.7500 0.2500 0.5000  8 Pd 3.05, 4 Ca 3.28